# BaY2In2 GGA-PBE relaxed
data_BaY2In2
_chemical_formula_sum 'Ba2 Y4 In4'
_cell_length_a 9.2478
_cell_length_b 9.2478
_cell_length_c 3.7535
_cell_angle_alpha 90.00
_cell_angle_beta 90.00
_cell_angle_gamma 90.00
_space_group_name_H-M_alt 'P 4/m b m'
_space_group_IT_number 127
_space_group_name_Hall '-P 4 2ab'
loop_
_atom_site_label
_atom_site_fract_x
_atom_site_fract_y
_atom_site_fract_z
Ba1 0.0000 0.0000 0.0000
Y1 0.1710 0.3290 0.5000
In1 0.1230 0.6230 0.0000
# **Size of the total moment**: 0.0 μB per cell
# **DOS at the Fermi energy**: 14.4 states/eV per cell
# **Energy of formation**: -1.353 eV per formula unit
# **Calculated density**: 5.64 g/cm3


# ZrInNi3 GGA-PBE relaxed
data_ZrInNi3
_chemical_formula_sum 'Zr1 In1 Ni3'
_cell_length_a 4.5700
_cell_length_b 4.5700
_cell_length_c 4.5700
_cell_angle_alpha 90.00
_cell_angle_beta 90.00
_cell_angle_gamma 90.00
_space_group_name_H-M_alt 'P m -3 m'
_space_group_IT_number 221
_space_group_name_Hall '-P 4 2 3'
loop_
_atom_site_label
_atom_site_fract_x
_atom_site_fract_y
_atom_site_fract_z
Zr1 0.0000 0.0000 0.0000
In1 0.5000 0.5000 0.5000
Ni1 0.0000 0.5000 0.5000
# **Size of the total moment**: 0.0 μB per cell
# **DOS at the Fermi energy**: 6.7 states/eV per cell
# **Energy of formation**: 4.178 eV per formula unit
# **Calculated density**: 6.65 g/cm3


# Rb2ScAg GGA-PBE relaxed
data_Rb2ScAg
_chemical_formula_sum 'Rb8 Sc4 Ag4'
_cell_length_a 8.8877
_cell_length_b 8.8877
_cell_length_c 8.8877
_cell_angle_alpha 90.00
_cell_angle_beta 90.00
_cell_angle_gamma 90.00
_space_group_name_H-M_alt 'F m -3 m'
_space_group_IT_number 225
_space_group_name_Hall '-F 4 2 3'
loop_
_atom_site_label
_atom_site_fract_x
_atom_site_fract_y
_atom_site_fract_z
Rb1 0.2500 0.2500 0.2500
Sc1 0.0000 0.0000 0.0000
Ag1 0.0000 0.0000 0.5000
# **Size of the total moment**: 7.2 μB per cell
# **DOS at the Fermi energy**: 32.3 states/eV per cell
# **Energy of formation**: 3.049 eV per formula unit
# **Calculated density**: 3.06 g/cm3


# TmTiFe GGA-PBE relaxed
data_TmTiFe
_chemical_formula_sum 'Tm2 Ti2 Fe2'
_cell_length_a 3.1866
_cell_length_b 3.1866
_cell_length_c 10.8287
_cell_angle_alpha 90.00
_cell_angle_beta 90.00
_cell_angle_gamma 90.00
_space_group_name_H-M_alt 'I 4 m m'
_space_group_IT_number 107
_space_group_name_Hall 'I 4 -2'
loop_
_atom_site_label
_atom_site_fract_x
_atom_site_fract_y
_atom_site_fract_z
Tm1 0.0000 0.0000 0.0000
Ti1 0.0000 0.0000 0.2775
Fe1 0.0000 0.0000 0.6774
# **Size of the total moment**: 1.9 μB per cell
# **DOS at the Fermi energy**: 5.9 states/eV per cell
# **Energy of formation**: -0.040 eV per formula unit
# **Calculated density**: 8.23 g/cm3


# Ca2Pm3Mg3 GGA-PBE relaxed
data_Ca2Pm3Mg3
_chemical_formula_sum 'Ca4 Pm6 Mg6'
_cell_length_a 3.9000
_cell_length_b 5.6262
_cell_length_c 23.0521
_cell_angle_alpha 90.00
_cell_angle_beta 90.00
_cell_angle_gamma 90.00
_space_group_name_H-M_alt 'I m m m'
_space_group_IT_number 71
_space_group_name_Hall '-I 2 2'
loop_
_atom_site_label
_atom_site_fract_x
_atom_site_fract_y
_atom_site_fract_z
Ca1 0.0000 0.0000 0.2347
Pm1 0.0000 0.0000 0.0000
Pm2 0.0000 0.5000 0.1176
Mg1 0.0000 0.0000 0.5000
Mg2 0.0000 0.5000 0.3838
# **Size of the total moment**: 1.3 μB per cell
# **DOS at the Fermi energy**: 19.7 states/eV per cell
# **Energy of formation**: -0.142 eV per formula unit
# **Calculated density**: 3.86 g/cm3


# Ho3Tm4Th GGA-PBE relaxed
data_Ho3Tm4Th
_chemical_formula_sum 'Ho6 Tm8 Th2'
_cell_length_a 23.1479
_cell_length_b 3.4190
_cell_length_c 6.6246
_cell_angle_alpha 90.00
_cell_angle_beta 106.55
_cell_angle_gamma 90.00
_space_group_name_H-M_alt 'C 1 2/m 1'
_space_group_IT_number 12
loop_
_space_group_symop_operation_xyz
'x,y,z'
'-x,-y,-z'
'-x,y,-z'
'x,-y,z'
'x+1/2,y+1/2,z'
'-x+1/2,-y+1/2,-z'
'-x+1/2,y+1/2,-z'
'x+1/2,-y+1/2,z'
loop_
_atom_site_label
_atom_site_fract_x
_atom_site_fract_y
_atom_site_fract_z
Ho1 0.0000 0.0000 0.0000
Ho2 0.1249 0.0000 0.8668
Tm1 0.1249 0.0000 0.3845
Tm2 0.2408 0.5000 0.7386
Th1 0.0000 0.5000 0.5000
# **Size of the total moment**: 0.0 μB per cell
# **DOS at the Fermi energy**: 27.4 states/eV per cell
# **Energy of formation**: 1.394 eV per formula unit
# **Calculated density**: 9.27 g/cm3


# LaIn2Ag2 GGA-PBE relaxed
data_LaIn2Ag2
_chemical_formula_sum 'La2 In4 Ag4'
_cell_length_a 4.4628
_cell_length_b 4.4628
_cell_length_c 12.5163
_cell_angle_alpha 90.00
_cell_angle_beta 90.00
_cell_angle_gamma 90.00
_space_group_name_H-M_alt 'I 4/m m m'
_space_group_IT_number 139
_space_group_name_Hall '-I 4 2'
loop_
_atom_site_label
_atom_site_fract_x
_atom_site_fract_y
_atom_site_fract_z
La1 0.0000 0.0000 0.0000
In1 0.0000 0.5000 0.2500
Ag1 0.0000 0.0000 0.3927
# **Size of the total moment**: 0.0 μB per cell
# **DOS at the Fermi energy**: 5.9 states/eV per cell
# **Energy of formation**: -1.482 eV per formula unit
# **Calculated density**: 7.78 g/cm3


# CeTh2Cd GGA-PBE relaxed
data_CeTh2Cd
_chemical_formula_sum 'Ce1 Th2 Cd1'
_cell_length_a 4.9671
_cell_length_b 4.9671
_cell_length_c 4.7272
_cell_angle_alpha 90.00
_cell_angle_beta 90.00
_cell_angle_gamma 90.00
_space_group_name_H-M_alt 'P 4/m m m'
_space_group_IT_number 123
_space_group_name_Hall '-P 4 2'
loop_
_atom_site_label
_atom_site_fract_x
_atom_site_fract_y
_atom_site_fract_z
Ce1 0.0000 0.0000 0.0000
Th1 0.0000 0.5000 0.5000
Cd1 0.5000 0.5000 0.0000
# **Size of the total moment**: 0.7 μB per cell
# **DOS at the Fermi energy**: 8.1 states/eV per cell
# **Energy of formation**: 0.003 eV per formula unit
# **Calculated density**: 10.20 g/cm3


# Al3TlCl GGA-PBE relaxed
data_Al3TlCl
_chemical_formula_sum 'Al3 Tl1 Cl1'
_cell_length_a 5.4554
_cell_length_b 5.4554
_cell_length_c 5.4554
_cell_angle_alpha 90.00
_cell_angle_beta 90.00
_cell_angle_gamma 90.00
_space_group_name_H-M_alt 'P m -3 m'
_space_group_IT_number 221
_space_group_name_Hall '-P 4 2 3'
loop_
_atom_site_label
_atom_site_fract_x
_atom_site_fract_y
_atom_site_fract_z
Al1 0.0000 0.0000 0.5000
Tl1 0.0000 0.0000 0.0000
Cl1 0.5000 0.5000 0.5000
# **Size of the total moment**: 0.0 μB per cell
# **DOS at the Fermi energy**: 3.1 states/eV per cell
# **Calculated density**: 3.28 g/cm3
# **Total DFT energy (no corrections)**: -12.216 eV/cell


# Mg2PaTaN4 GGA-PBE relaxed
data_Mg2PaTaN4
_chemical_formula_sum 'Mg4 Pa2 Ta2 N8'
_cell_length_a 4.5039
_cell_length_b 4.5039
_cell_length_c 9.4300
_cell_angle_alpha 90.00
_cell_angle_beta 90.00
_cell_angle_gamma 90.00
_space_group_name_H-M_alt 'I -4 m 2'
_space_group_IT_number 119
_space_group_name_Hall 'I -4 -2'
loop_
_atom_site_label
_atom_site_fract_x
_atom_site_fract_y
_atom_site_fract_z
Mg1 0.0000 0.0000 0.0000
Mg2 0.0000 0.5000 0.2500
Pa1 0.0000 0.5000 0.7500
Ta1 0.0000 0.0000 0.5000
N1 0.0000 0.0000 0.2613
N2 0.0000 0.5000 0.0058
# **Size of the total moment**: 0.0 μB per cell
# **DOS at the Fermi energy**: 7.6 states/eV per cell
# **Calculated density**: 8.97 g/cm3
# **Total DFT energy (no corrections)**: -133.873 eV/cell


# Ac2La5Tm2 GGA-PBE relaxed
data_Ac2La5Tm2
_chemical_formula_sum 'Ac2 La5 Tm2'
_cell_length_a 6.4838
_cell_length_b 6.5100
_cell_length_c 8.2973
_cell_angle_alpha 74.99
_cell_angle_beta 82.46
_cell_angle_gamma 80.69
_space_group_name_H-M_alt 'P -1'
_space_group_IT_number 2
loop_
_space_group_symop_operation_xyz
'x,y,z'
'-x,-y,-z'
loop_
_atom_site_label
_atom_site_fract_x
_atom_site_fract_y
_atom_site_fract_z
Ac1 0.0570 0.2795 0.3812
La1 0.1729 0.8315 0.1577
La2 0.3901 0.9474 0.7312
La3 0.5000 0.5000 0.5000
Tm1 0.2815 0.3938 0.9440
# **Size of the total moment**: 0.0 μB per cell
# **DOS at the Fermi energy**: 15.3 states/eV per cell
# **Energy of formation**: 0.319 eV per formula unit
# **Calculated density**: 7.43 g/cm3


# Cr2Ni5Ru GGA-PBE relaxed
data_Cr2Ni5Ru
_chemical_formula_sum 'Cr4 Ni10 Ru2'
_cell_length_a 7.1252
_cell_length_b 7.3322
_cell_length_c 5.0274
_cell_angle_alpha 90.00
_cell_angle_beta 134.68
_cell_angle_gamma 90.00
_space_group_name_H-M_alt 'C 1 2/m 1'
_space_group_IT_number 12
loop_
_space_group_symop_operation_xyz
'x,y,z'
'-x,-y,-z'
'-x,y,-z'
'x,-y,z'
'x+1/2,y+1/2,z'
'-x+1/2,-y+1/2,-z'
'-x+1/2,y+1/2,-z'
'x+1/2,-y+1/2,z'
loop_
_atom_site_label
_atom_site_fract_x
_atom_site_fract_y
_atom_site_fract_z
Cr1 0.0000 0.0000 0.0000
Cr2 0.0000 0.5000 0.5000
Ni1 0.0000 0.0000 0.5000
Ni2 0.2500 0.2500 0.0000
Ni3 0.2500 0.2500 0.5000
Ru1 0.0000 0.5000 0.0000
# **Size of the total moment**: 1.9 μB per cell
# **DOS at the Fermi energy**: 25.1 states/eV per cell
# **Energy of formation**: 0.400 eV per formula unit
# **Calculated density**: 8.87 g/cm3


# TeAs2Pb2 GGA-PBE relaxed
data_TeAs2Pb2
_chemical_formula_sum 'Te2 As4 Pb4'
_cell_length_a 8.1483
_cell_length_b 8.1483
_cell_length_c 4.1864
_cell_angle_alpha 90.00
_cell_angle_beta 90.00
_cell_angle_gamma 90.00
_space_group_name_H-M_alt 'P 4/m b m'
_space_group_IT_number 127
_space_group_name_Hall '-P 4 2ab'
loop_
_atom_site_label
_atom_site_fract_x
_atom_site_fract_y
_atom_site_fract_z
Te1 0.0000 0.0000 0.0000
As1 0.1716 0.3284 0.0000
Pb1 0.1466 0.6466 0.5000
# **Size of the total moment**: 0.0 μB per cell
# **DOS at the Fermi energy**: 5.4 states/eV per cell
# **Calculated density**: 8.27 g/cm3
# **Total DFT energy (no corrections)**: -38.589 eV/cell